1.
## NbTe4 (PBE)

Data for NbTe4 after structural relaxation.

abc: 9.347 9.347 20.963
angles: 90.00 90.00 90.00
Space group P4 (No. 75)
One atom of each set of equivalent atoms:
Nb: 0.000 0.000 0.000 [1 per cell]
Nb: 0.000 0.000 0.152 [1 per cell]
Nb: 0.000 0.000 0.306 [1 per cell]
Nb: 0.000 0.000 0.500 [1 per cell]
Nb: 0.000 0.000 0.652 [1 per cell]
Nb: 0.000 0.000 0.806 [1 per cell]
Nb: 0.500 0.500 0.168 [1 per cell]
Nb: 0.500 0.500 0.322 [1 per cell]
Nb: 0.500 0.500 0.475 [1 per cell]
Nb: 0.500 0.500 0.668 [1 per cell]
Nb: 0.500 0.500 0.821 [1 per cell]
Nb: 0.500 0.500 0.974 [1 per cell]
Te: 0.083 0.242 0.072 [4 per cell]
Te: 0.084 0.758 0.572 [4 per cell]
Te: 0.093 0.237 0.733 [4 per cell]
Te: 0.094 0.763 0.234 [4 per cell]
Te: 0.095 0.216 0.403 [4 per cell]
Te: 0.096 0.785 0.903 [4 per cell]
Te: 0.258 0.416 0.902 [4 per cell]
Te: 0.259 0.585 0.402 [4 per cell]
Te: 0.262 0.409 0.241 [4 per cell]
Te: 0.262 0.591 0.740 [4 per cell]
Te: 0.285 0.404 0.571 [4 per cell]
Te: 0.285 0.597 0.071 [4 per cell]

Summary:
raw total energy = -4.87 eV per atom

2.
## Hf2NbGe (PBE)

Data for Hf2NbGe after structural relaxation.

abc: 6.706 6.706 6.706
angles: 90.00 90.00 90.00
Space group F-43m (No. 216)
One atom of each set of equivalent atoms:
Hf: 0.000 0.000 0.000 [4 per cell]
Hf: 0.250 0.250 0.250 [4 per cell]
Nb: 0.250 0.250 0.750 [4 per cell]
Ge: 0.000 0.000 0.500 [4 per cell]

Summary:
raw total energy = -8.65 eV per atom

3.
## LiCuBIr (PBE)

Data for LiCuBIr after structural relaxation.

abc: 5.626 5.626 5.626
angles: 90.00 90.00 90.00
Space group F-43m (No. 216)
One atom of each set of equivalent atoms:
Li: 0.000 0.000 0.000 [4 per cell]
Cu: 0.000 0.000 0.500 [4 per cell]
B: 0.250 0.250 0.250 [4 per cell]
Ir: 0.250 0.250 0.750 [4 per cell]

Summary:
energy above the most stable polymorph in this dataset = 2.19 eV per formula unit

4.
## MoBr3 (PBE)

Data for MoBr3 after structural relaxation.

abc: 7.190 7.351 10.722
angles: 90.00 99.23 90.00
Space group P2_1/c (No. 14)
One atom of each set of equivalent atoms:
Mo: 0.171 0.074 0.043 [4 per cell]
Br: 0.092 0.579 0.332 [4 per cell]
Br: 0.226 0.111 0.494 [4 per cell]
Br: 0.396 0.630 0.665 [4 per cell]

Summary:
raw total energy = -4.22 eV per atom

5.
## BaTmAs (PBE)

Data for BaTmAs after structural relaxation.

abc: 7.606 7.606 7.606
angles: 90.00 90.00 90.00
Space group F-43m (No. 216)
One atom of each set of equivalent atoms:
Ba: 0.000 0.000 0.000 [4 per cell]
Tm: 0.250 0.250 0.250 [4 per cell]
As: 0.250 0.250 0.750 [4 per cell]

Summary:
energy above the most stable polymorph in this dataset = 2.51 eV per formula unit

6.
## Na4CuAs2Pd (PBE)

Data for Na4CuAs2Pd after structural relaxation.

abc: 7.098 8.862 5.367
angles: 90.00 91.71 90.00
Space group C2/m (No. 12)
One atom of each set of equivalent atoms:
Na: 0.151 0.177 0.254 [8 per cell]
Cu: 0.000 0.500 0.000 [2 per cell]
As: 0.219 0.000 0.758 [4 per cell]
Pd: 0.000 0.500 0.500 [2 per cell]

Summary:
raw total energy = -3.33 eV per atom

7.
## BaTbGa4Pt2 (PBE)

Data for BaTbGa4Pt2 after structural relaxation.

abc: 7.081 4.423 10.687
angles: 90.00 90.00 90.00
Space group Amm2 (No. 38)
One atom of each set of equivalent atoms:
Ba: 0.000 0.000 0.000 [2 per cell]
Tb: 0.500 0.000 0.843 [2 per cell]
Ga: 0.204 0.000 0.282 [4 per cell]
Ga: 0.317 0.000 0.567 [4 per cell]
Pt: 0.000 0.000 0.719 [2 per cell]
Pt: 0.500 0.000 0.130 [2 per cell]

Summary:
raw total energy = -4.54 eV per atom

8.
## LaNdPBr (PBE)

Data for LaNdPBr after structural relaxation.

abc: 4.2111 4.2111 21.9747
angles: 90.00 90.00 120.00
Space group R3m (No. 160, hexagonal axes)
One atom of each set of equivalent atoms:
La: 0.0000 0.0000 0.0000 [3 per cell]
Nd: 0.0000 0.0000 0.4695 [3 per cell]
P: 0.0000 0.0000 0.7366 [3 per cell]
Br: 0.0000 0.0000 0.2336 [3 per cell]

Summary:
energy above the most stable polymorph in this dataset = 0.02 eV per formula unit

9.
## HoCo2P (PBE)

Data for HoCo2P after structural relaxation.

abc: 3.861 5.325 5.699
angles: 90.00 90.00 90.00
Space group Pmmn (No. 59, origin choice 2)
One atom of each set of equivalent atoms:
Ho: 0.250 0.250 0.113 [2 per cell]
Co: 0.250 0.024 0.638 [4 per cell]
P: 0.250 0.750 0.337 [2 per cell]

Summary:
raw total energy = -6.72 eV per atom

10.
## LuPu (PBE)

Data for LuPu after structural relaxation.

abc: 6.269 6.269 6.269
angles: 90.00 90.00 90.00
Space group Fm-3m (No. 225)
One atom of each set of equivalent atoms:
Lu: 0.000 0.000 0.000 [4 per cell]
Pu: 0.000 0.000 0.500 [4 per cell]

Summary:
formation energy = 1.7 eV per formula unit
energy above the most stable polymorph in this dataset = 1.51 eV per formula unit

11.
## BaLuPa (PBE)

Data for BaLuPa after structural relaxation.

abc: 7.831 7.831 7.831
angles: 90.00 90.00 90.00
Space group F-43m (No. 216)
One atom of each set of equivalent atoms:
Ba: 0.000 0.000 0.000 [4 per cell]
Lu: 0.250 0.250 0.250 [4 per cell]
Pa: 0.000 0.000 0.500 [4 per cell]

Summary:
energy above the most stable polymorph in this dataset = 0.00 eV per formula unit

12.
## BaGd (PBE)

Data for BaGd after structural relaxation.

abc: 6.2684 6.2684 6.1934
angles: 90.00 90.00 120.00
Space group P6_3/mmc (No. 194)
One atom of each set of equivalent atoms:
Ba: 0.3333 0.6667 0.2500 [2 per cell]
Gd: 0.0000 0.0000 0.0000 [2 per cell]

Summary:
energy above the most stable polymorph in this dataset = 0.74 eV per formula unit

13.
## TbHoAlSi2 (PBE)

Data for TbHoAlSi2 after structural relaxation.

abc: 4.080 5.709 8.732
angles: 90.00 90.00 90.00
Space group Imm2 (No. 44)
One atom of each set of equivalent atoms:
Tb: 0.000 0.000 0.000 [2 per cell]
Ho: 0.000 0.000 0.579 [2 per cell]
Al: 0.000 0.500 0.789 [2 per cell]
Si: 0.000 0.289 0.289 [4 per cell]

Summary:
raw total energy = -5.48 eV per atom

14.
## Er2Lu3Hg3 (PBE)

Data for Er2Lu3Hg3 after structural relaxation.

abc: 6.8121 6.8121 5.1378
angles: 90.00 90.00 120.00
Space group P-6m2 (No. 187)
One atom of each set of equivalent atoms:
Er: 0.0000 0.0000 0.0000 [1 per cell]
Er: 0.3333 0.6667 0.5000 [1 per cell]
Lu: 0.5027 0.0053 0.0000 [3 per cell]
Hg: 0.3389 0.1694 0.5000 [3 per cell]

Summary:
formation energy = -1.1 eV per formula unit
energy above the most stable polymorph in this dataset = 0.83 eV per formula unit

15.
## MgBeCoB (PBE)

Data for MgBeCoB after structural relaxation.

abc: 5.415 5.415 5.415
angles: 90.00 90.00 90.00
Space group F-43m (No. 216)
One atom of each set of equivalent atoms:
Mg: 0.000 0.000 0.000 [4 per cell]
Be: 0.250 0.250 0.250 [4 per cell]
Co: 0.250 0.250 0.750 [4 per cell]
B: 0.000 0.000 0.500 [4 per cell]

Summary:
energy above the most stable polymorph in this dataset = 0.79 eV per formula unit

16.
## Sm2Sn2O5 (PBE)

Data for Sm2Sn2O5 after structural relaxation.

abc: 3.776 3.776 9.788
angles: 90.00 90.00 90.00
Space group P4/mmm (No. 123)
One atom of each set of equivalent atoms:
Sm: 0.000 0.000 0.245 [2 per cell]
Sn: 0.500 0.500 0.000 [1 per cell]
Sn: 0.500 0.500 0.500 [1 per cell]
O: 0.000 0.000 0.000 [1 per cell]
O: 0.000 0.500 0.371 [4 per cell]

Summary:
energy above the most stable polymorph in this dataset = 0.00 eV per formula unit

17.
## ZrAlPb (PBE)

Data for ZrAlPb after structural relaxation.

abc: 6.834 6.834 6.834
angles: 90.00 90.00 90.00
Space group F-43m (No. 216)
One atom of each set of equivalent atoms:
Zr: 0.000 0.000 0.000 [4 per cell]
Al: 0.000 0.000 0.500 [4 per cell]
Pb: 0.250 0.250 0.750 [4 per cell]

Summary:
raw total energy = -4.74 eV per atom

18.
## SiBiAu (PBE)

Data for SiBiAu after structural relaxation.

abc: 8.491 4.052 8.212
angles: 90.00 90.00 90.00
Space group Pnma (No. 62)
One atom of each set of equivalent atoms:
Si: 0.097 0.250 0.058 [4 per cell]
Bi: 0.161 0.250 0.462 [4 per cell]
Au: 0.007 0.750 0.230 [4 per cell]

Summary:
energy above the most stable polymorph in this dataset = 0.00 eV per formula unit

19.
## ReBiOs2 (PBE)

Data for ReBiOs2 after structural relaxation.

abc: 6.461 6.461 6.461
angles: 90.00 90.00 90.00
Space group F-43m (No. 216)
One atom of each set of equivalent atoms:
Re: 0.000 0.000 0.000 [4 per cell]
Bi: 0.250 0.250 0.750 [4 per cell]
Os: 0.000 0.000 0.500 [4 per cell]
Os: 0.250 0.250 0.250 [4 per cell]

Summary:
raw total energy = -8.64 eV per atom

20.
## ThCoSn (PBE)

Data for ThCoSn after structural relaxation.

abc: 7.3609 7.3609 4.0738
angles: 90.00 90.00 120.00
Space group P-62m (No. 189)
One atom of each set of equivalent atoms:
Th: 0.0000 0.5862 0.0000 [3 per cell]
Co: 0.0000 0.0000 0.0000 [1 per cell]
Co: 0.3333 0.6667 0.5000 [2 per cell]
Sn: 0.0000 0.2486 0.5000 [3 per cell]

Summary:
raw total energy = -6.71 eV per atom

21.
## SrCdSeO (PBE)

Data for SrCdSeO after structural relaxation.

abc: 5.671 5.671 7.266
angles: 90.00 90.00 90.00
Space group P4/nmm (No. 129, origin choice 2)
One atom of each set of equivalent atoms:
Sr: 0.250 0.750 0.000 [2 per cell]
Cd: 0.250 0.250 0.303 [2 per cell]
Se: 0.250 0.250 0.839 [2 per cell]
O: 0.250 0.250 0.589 [2 per cell]

Summary:
raw total energy = -3.51 eV per atom

22.
## Ta8Co7 (PBE)

Data for Ta8Co7 after structural relaxation.

abc: 9.480 9.480 5.058
angles: 90.00 90.00 90.00
Space group P4_2/mnm (No. 136)
One atom of each set of equivalent atoms:
Ta: 0.022 0.352 0.000 [8 per cell]
Ta: 0.030 0.242 0.500 [8 per cell]
Co: 0.000 0.000 0.500 [2 per cell]
Co: 0.092 0.092 0.000 [4 per cell]
Co: 0.220 0.780 0.248 [8 per cell]

Summary:
formation energy = 2.6 eV per formula unit
energy above the most stable polymorph in this dataset = 3.20 eV per formula unit